No. 1
Crystalline Tb3Tm2In3 at its relaxed geometry, computed with PBE.

Cell and atoms, written as CIF:
```
data_Tb3Tm2In3
_cell_length_a 3.749
_cell_length_b 5.336
_cell_length_c 22.244
_cell_angle_alpha 90.00
_cell_angle_beta 90.00
_cell_angle_gamma 90.00
_symmetry_space_group_name_H-M 'I m m m'
_symmetry_Int_Tables_number 71
_symmetry_space_group_name_Hall '-I 2 2'
loop_
_atom_site_label
_atom_site_type_symbol
_atom_site_fract_x
_atom_site_fract_y
_atom_site_fract_z
Tb1 Tb 0.000 0.000 0.000
Tb2 Tb 0.000 0.500 0.125
Tm1 Tm 0.000 0.000 0.236
In1 In 0.000 0.000 0.500
In2 In 0.000 0.500 0.379
```



No. 2
Crystalline Th2PaAs3 at its relaxed geometry, computed with PBE.

Cell and atoms, written as CIF:
```
data_Th2PaAs3
_cell_length_a 8.392
_cell_length_b 11.881
_cell_length_c 25.204
_cell_angle_alpha 90.00
_cell_angle_beta 90.00
_cell_angle_gamma 90.00
_symmetry_space_group_name_H-M 'F d d d'
_symmetry_Int_Tables_number 70
loop_
_symmetry_equiv_pos_as_xyz
'x,y,z'
'-x,-y,-z'
'-x+1/4,-y+1/4,z'
'x+1/4,y+1/4,-z'
'x,-y+1/4,-z+1/4'
'-x,y+1/4,z+1/4'
'-x+1/4,y,-z+1/4'
'x+1/4,-y,z+1/4'
'x,y+1/2,z+1/2'
'-x,-y+1/2,-z+1/2'
'-x+1/4,-y+3/4,z+1/2'
'x+1/4,y+3/4,-z+1/2'
'x,-y+3/4,-z+3/4'
'-x,y+3/4,z+3/4'
'-x+1/4,y+1/2,-z+3/4'
'x+1/4,-y+1/2,z+3/4'
'x+1/2,y,z+1/2'
'-x+1/2,-y,-z+1/2'
'-x+3/4,-y+1/4,z+1/2'
'x+3/4,y+1/4,-z+1/2'
'x+1/2,-y+1/4,-z+3/4'
'-x+1/2,y+1/4,z+3/4'
'-x+3/4,y,-z+3/4'
'x+3/4,-y,z+3/4'
'x+1/2,y+1/2,z'
'-x+1/2,-y+1/2,-z'
'-x+3/4,-y+3/4,z'
'x+3/4,y+3/4,-z'
'x+1/2,-y+3/4,-z+1/4'
'-x+1/2,y+3/4,z+1/4'
'-x+3/4,y+1/2,-z+1/4'
'x+3/4,-y+1/2,z+1/4'
loop_
_atom_site_label
_atom_site_type_symbol
_atom_site_fract_x
_atom_site_fract_y
_atom_site_fract_z
Th1 Th 0.125 0.125 0.043
Th2 Th 0.125 0.125 0.374
Pa1 Pa 0.125 0.125 0.542
As1 As 0.115 0.375 0.875
As2 As 0.120 0.371 0.710
```



No. 3
# ThPd6Pt2 (PBE, relaxed)
# - E above lowest polymorph (eV per formula unit) = 1.71
data_ThPd6Pt2
_cell_length_a 13.150
_cell_length_b 11.107
_cell_length_c 4.693
_cell_angle_alpha 90.00
_cell_angle_beta 109.26
_cell_angle_gamma 90.00
_symmetry_space_group_name_H-M 'C 1 2/c 1'
_symmetry_Int_Tables_number 15
loop_
_symmetry_equiv_pos_as_xyz
'x,y,z'
'-x,-y,-z'
'-x,y,-z+1/2'
'x,-y,z+1/2'
'x+1/2,y+1/2,z'
'-x+1/2,-y+1/2,-z'
'-x+1/2,y+1/2,-z+1/2'
'x+1/2,-y+1/2,z+1/2'
loop_
_atom_site_label
_atom_site_type_symbol
_atom_site_fract_x
_atom_site_fract_y
_atom_site_fract_z
Th1 Th 0.000 0.183 0.250
Pd1 Pd 0.052 0.390 0.558
Pd2 Pd 0.110 0.061 0.787
Pd3 Pd 0.242 0.185 0.249
Pt1 Pt 0.185 0.420 0.191



| no. | energy relative to the elements (eV per atom) |
| --- | --- |
| 1 | -0.367 |
| 2 | -1.278 |
| 3 | -0.289 |